{"formula": "CoSnN2F", "functional": "PBE with a Hubbard U", "state": "relaxed", "lattice": [[3.7612, 0.0000, 0.0000], [0.0000, 3.7612, 0.0000], [0.0000, 0.0000, 4.3226]], "species": ["Co", "Sn", "F", "N", "N"], "frac_coords": [[0.0000, 0.0000, 0.0000], [0.5000, 0.5000, 0.5000], [0.0000, 0.0000, 0.5000], [0.5000, 0.0000, 0.0000], [0.0000, 0.5000, 0.0000]], "sg": "P4/mmm", "polymorph_energy_mev_per_atom": 0, "total_energy_ev_per_cell": -26.05}